a) # TbSm2Sn

A geometry-optimized TbSm2Sn structure (PBE, Alexandria).

Cell: 5.488 5.488 5.488 Å, 60.00 60.00 60.00°
Fractional positions:
Sm1 0.250 0.250 0.250
Sm2 0.750 0.750 0.750
Sn1 0.500 0.500 0.500
Tb1 0.000 0.000 0.000

Calculated values
* symmetry: No. 225

b) # TbSm2Sn

A geometry-optimized TbSm2Sn structure (PBE, Alexandria).

Cell: 4.899 4.858 4.858 Å, 90.00 90.00 90.00°
Fractional positions:
Sm1 0.000 0.000 0.500
Sm2 0.000 0.500 0.000
Sn1 0.500 0.000 0.000
Tb1 0.500 0.500 0.500

Calculated values
* symmetry: No. 123

c) # TbSm2Sn

A geometry-optimized TbSm2Sn structure (PBE, Alexandria).

Cell: 3.456 5.591 13.650 Å, 90.00 97.27 90.00°
Fractional positions:
Sm1 0.905 0.250 0.810
Sm2 0.811 0.750 0.623
Sm3 0.189 0.250 0.377
Sm4 0.095 0.750 0.190
Sn1 0.304 0.250 0.609
Sn2 0.696 0.750 0.391
Tb1 0.028 0.250 0.056
Tb2 0.972 0.750 0.944

Calculated values
* symmetry: No. 63

Most stable pick: b). Distance to second place: 183 meV per atom.

a) # TbSmTlSn

A geometry-optimized TbSmTlSn structure (PBE, Alexandria).

Cell: 4.613 4.372 6.241 Å, 90.00 111.69 90.00°
Fractional positions:
Sm1 0.865 0.500 0.731
Tl1 0.409 0.000 0.818
Sn1 0.590 0.500 0.180
Tb1 0.136 0.000 0.272

Calculated values
* symmetry: No. 38

b) # TbSmTlSn

A geometry-optimized TbSmTlSn structure (PBE, Alexandria).

Cell: 5.411 5.411 5.411 Å, 60.00 60.00 60.00°
Fractional positions:
Sn1 0.250 0.250 0.250
Tl1 0.750 0.750 0.750
Sm1 0.500 0.500 0.500
Tb1 0.000 0.000 0.000

Calculated values
* symmetry: No. 216

Most stable pick: a). Distance to second place: 79 meV per atom.

a) # Sm2SnTe

A geometry-optimized Sm2SnTe structure (PBE, Alexandria).

Cell: 3.718 3.718 8.249 Å, 90.00 90.00 90.00°
Site moments in Bohr magnetons follow the coordinates.
Fractional positions:
Te1 0.500 0.500 0.500  0.00
Sm1 0.000 0.000 0.257  0.08
Sm2 0.000 0.000 0.743  0.08
Sn1 0.500 0.500 0.000  0.00

Calculated values
* symmetry: No. 123

b) # Sm2SnTe

A geometry-optimized Sm2SnTe structure (PBE, Alexandria).

Cell: 7.793 7.732 9.972 Å, 104.93 105.17 109.45°
Fractional positions:
Sm1 0.823 0.567 0.625
Sm2 0.177 0.433 0.375
Sm3 0.434 0.691 0.875
Sm4 0.941 0.185 0.875
Sm5 0.698 0.942 0.375
Sm6 0.566 0.309 0.125
Sm7 0.059 0.815 0.125
Sm8 0.302 0.058 0.625
Te1 0.561 0.811 0.621
Te2 0.314 0.564 0.129
Te3 0.439 0.189 0.379
Te4 0.686 0.436 0.871
Sn1 0.065 0.315 0.629
Sn2 0.810 0.060 0.121
Sn3 0.190 0.940 0.879
Sn4 0.935 0.685 0.371

Calculated values
* symmetry: No. 15

Most stable pick: b). Distance to second place: 181 meV per atom.

a) # Sm2ThSn

A geometry-optimized Sm2ThSn structure (PBE, Alexandria).

Cell: 4.812 4.950 4.950 Å, 90.00 90.00 90.00°
Fractional positions:
Sm1 0.000 0.500 0.000
Sm2 0.000 0.000 0.500
Th1 0.500 0.000 0.000
Sn1 0.500 0.500 0.500

Calculated values
* symmetry: No. 123

b) # Sm2ThSn

A geometry-optimized Sm2ThSn structure (PBE, Alexandria).

Cell: 4.051 4.051 7.265 Å, 90.00 90.00 90.00°
Fractional positions:
Sm1 0.000 0.000 0.279
Sm2 0.000 0.000 0.721
Sn1 0.500 0.500 0.500
Th1 0.500 0.500 0.000

Calculated values
* symmetry: No. 123

Most stable pick: a). Distance to second place: 74 meV per atom.

a) # Sm2ThSn

A geometry-optimized Sm2ThSn structure (PBE, Alexandria).

Cell: 5.511 5.511 5.511 Å, 60.00 60.00 60.00°
Fractional positions:
Sn1 0.500 0.500 0.500
Sm1 0.750 0.750 0.750
Sm2 0.250 0.250 0.250
Th1 0.000 0.000 0.000

Calculated values
* symmetry: No. 225

b) # Sm2ThSn

A geometry-optimized Sm2ThSn structure (PBE, Alexandria).

Cell: 3.572 3.572 12.190 Å, 81.58 81.58 60.00°
Fractional positions:
Sm1 0.088 0.088 0.736
Sm2 0.912 0.912 0.264
Th1 0.500 0.500 0.500
Sn1 0.000 0.000 0.000

Calculated values
* symmetry: No. 166

Most stable pick: a). Distance to second place: 218 meV per atom.

a) # Sm5Tl2Sn2

A geometry-optimized Sm5Tl2Sn2 structure (PBE, Alexandria).

Cell: 8.268 8.357 9.039 Å, 117.53 90.00 90.00°
Fractional positions:
Sn1 0.500 0.705 0.410
Sn2 0.000 0.205 0.410
Sn3 0.000 0.795 0.590
Sn4 0.500 0.295 0.590
Sm1 0.830 0.817 0.283
Sm2 0.670 0.034 0.717
Sm3 0.670 0.317 0.283
Sm4 0.000 0.000 0.000
Sm5 0.830 0.534 0.717
Sm6 0.170 0.183 0.717
Sm7 0.170 0.466 0.283
Sm8 0.330 0.966 0.283
Sm9 0.500 0.500 0.000
Sm10 0.330 0.683 0.717
Tl1 0.128 0.628 0.000
Tl2 0.372 0.128 0.000
Tl3 0.628 0.872 0.000
Tl4 0.872 0.372 0.000

Calculated values
* symmetry: No. 64

b) # Sm5Tl2Sn2

A geometry-optimized Sm5Tl2Sn2 structure (PBE, Alexandria).

Cell: 8.258 8.242 9.078 Å, 90.00 62.95 90.00°
Fractional positions:
Sn1 0.127 0.369 0.000
Sn2 0.873 0.631 0.000
Sn3 0.627 0.131 0.000
Sn4 0.373 0.869 0.000
Sm1 0.956 0.327 0.729
Sm2 0.000 0.000 0.000
Sm3 0.815 0.827 0.729
Sm4 0.044 0.673 0.271
Sm5 0.544 0.827 0.271
Sm6 0.685 0.327 0.271
Sm7 0.185 0.173 0.271
Sm8 0.315 0.673 0.729
Sm9 0.456 0.173 0.729
Sm10 0.500 0.500 0.000
Tl1 0.288 0.500 0.423
Tl2 0.788 0.000 0.423
Tl3 0.212 0.000 0.577
Tl4 0.712 0.500 0.577

Calculated values
* symmetry: No. 64

Most stable pick: b). Distance to second place: 10 meV per atom.

a) # SmTmSn

A geometry-optimized SmTmSn structure (PBE, Alexandria).

Cell: 4.502 8.100 9.715 Å, 90.00 90.00 90.00°
Site moments in Bohr magnetons follow the coordinates.
Fractional positions:
Tm1 0.750 0.633 0.934  0.14
Tm2 0.250 0.367 0.066  0.14
Tm3 0.250 0.867 0.434  0.14
Tm4 0.750 0.133 0.566  0.14
Sn1 0.250 0.748 0.135  -0.01
Sn2 0.750 0.252 0.865  -0.01
Sn3 0.250 0.248 0.365  -0.01
Sn4 0.750 0.752 0.635  -0.01
Sm1 0.750 0.040 0.168  0.16
Sm2 0.750 0.540 0.332  0.16
Sm3 0.250 0.960 0.832  0.16
Sm4 0.250 0.460 0.668  0.16

Calculated values
* symmetry: No. 62

b) # SmTmSn

A geometry-optimized SmTmSn structure (PBE, Alexandria).

Cell: 4.078 4.078 10.005 Å, 90.00 90.00 90.00°
Site moments in Bohr magnetons follow the coordinates.
Fractional positions:
Sm1 0.500 0.000 0.406  -0.17
Sm2 0.000 0.500 0.594  -0.17
Sn1 0.500 0.000 0.760  0.00
Sn2 0.000 0.500 0.240  0.00
Tm1 0.000 0.500 0.911  0.34
Tm2 0.500 0.000 0.089  0.34

Calculated values
* symmetry: No. 129

Most stable pick: a). Distance to second place: 160 meV per atom.

a) # SmTmSn

A geometry-optimized SmTmSn structure (PBE, Alexandria).

Cell: 3.337 3.337 9.006 Å, 100.68 100.68 90.00°
Fractional positions:
Sm1 0.955 0.955 0.911
Tm1 0.760 0.760 0.519
Sn1 0.135 0.135 0.270

Calculated values
* symmetry: No. 107

b) # SmTmSn

A geometry-optimized SmTmSn structure (PBE, Alexandria).

Cell: 3.909 5.103 5.103 Å, 120.00 90.00 90.00°
Fractional positions:
Sm1 0.364 0.333 0.667
Tm1 0.912 0.000 0.000
Sn1 0.724 0.667 0.333

Calculated values
* symmetry: No. 156

Most stable pick: b). Distance to second place: 507 meV per atom.

a) # SmY2Sn

A geometry-optimized SmY2Sn structure (PBE, Alexandria).

Cell: 4.814 4.872 4.872 Å, 90.00 90.00 90.00°
Fractional positions:
Sn1 0.500 0.000 0.000
Y1 0.000 0.000 0.500
Y2 0.000 0.500 0.000
Sm1 0.500 0.500 0.500

Calculated values
* symmetry: No. 123

b) # SmY2Sn

A geometry-optimized SmY2Sn structure (PBE, Alexandria).

Cell: 4.715 4.647 11.550 Å, 101.55 90.00 90.00°
Fractional positions:
Sn1 0.750 0.837 0.671
Sn2 0.250 0.163 0.329
Y1 0.250 0.935 0.870
Y2 0.750 0.440 0.879
Y3 0.250 0.560 0.121
Y4 0.750 0.065 0.130
Sm1 0.250 0.307 0.613
Sm2 0.750 0.693 0.387

Calculated values
* symmetry: No. 11

Most stable pick: a). Distance to second place: 6 meV per atom.

a) # SmY2Sn

A geometry-optimized SmY2Sn structure (PBE, Alexandria).

Cell: 3.540 3.540 12.166 Å, 81.63 81.63 60.00°
Fractional positions:
Y1 0.086 0.086 0.741
Y2 0.914 0.914 0.259
Sm1 0.500 0.500 0.500
Sn1 0.000 0.000 0.000

Calculated values
* symmetry: No. 166

b) # SmY2Sn

A geometry-optimized SmY2Sn structure (PBE, Alexandria).

Cell: 3.613 3.613 11.070 Å, 80.60 80.60 59.99°
Fractional positions:
Y1 0.256 0.256 0.231
Y2 0.077 0.077 0.769
Sm1 0.500 0.500 0.500
Sn1 0.667 0.667 0.000

Calculated values
* symmetry: No. 160

c) # SmY2Sn

A geometry-optimized SmY2Sn structure (PBE, Alexandria).

Cell: 5.461 6.964 6.955 Å, 90.00 90.00 113.09°
Fractional positions:
Y1 0.633 0.266 0.020
Y2 0.367 0.734 0.520
Y3 0.633 0.266 0.480
Y4 0.367 0.734 0.980
Sn1 0.825 0.650 0.750
Sn2 0.175 0.350 0.250
Sm1 0.932 0.864 0.250
Sm2 0.068 0.136 0.750

Calculated values
* symmetry: No. 63

Most stable pick: c). Distance to second place: 79 meV per atom.

a) # Sm2YSn

A geometry-optimized Sm2YSn structure (PBE, Alexandria).

Cell: 4.956 4.833 4.833 Å, 90.00 90.00 90.00°
Fractional positions:
Sn1 0.500 0.500 0.500
Sm1 0.000 0.500 0.000
Sm2 0.000 0.000 0.500
Y1 0.500 0.000 0.000

Calculated values
* symmetry: No. 123

b) # Sm2YSn

A geometry-optimized Sm2YSn structure (PBE, Alexandria).

Cell: 5.684 7.047 6.724 Å, 90.00 90.00 113.79°
Site moments in Bohr magnetons follow the coordinates.
Fractional positions:
Sm1 0.635 0.270 0.483  0.04
Sm2 0.635 0.270 0.017  0.04
Sm3 0.365 0.730 0.517  0.04
Sm4 0.365 0.730 0.983  0.04
Sn1 0.837 0.675 0.750  0.00
Sn2 0.163 0.325 0.250  0.00
Y1 0.924 0.849 0.250  0.08
Y2 0.076 0.151 0.750  0.08

Calculated values
* symmetry: No. 63

Most stable pick: a). Distance to second place: 137 meV per atom.

a) # SmZnSn2

A geometry-optimized SmZnSn2 structure (PBE, Alexandria).

Cell: 4.498 4.637 4.637 Å, 90.00 90.00 90.00°
Fractional positions:
Zn1 0.500 0.000 0.000
Sm1 0.500 0.500 0.500
Sn1 0.000 0.000 0.500
Sn2 0.000 0.500 0.000

Calculated values
* symmetry: No. 123

b) # SmZnSn2

A geometry-optimized SmZnSn2 structure (PBE, Alexandria).

Cell: 4.735 4.735 5.899 Å, 66.34 66.34 60.00°
Fractional positions:
Sn1 0.777 0.777 0.670
Sn2 0.223 0.223 0.330
Sm1 0.000 0.000 0.000
Zn1 0.500 0.500 0.500

Calculated values
* symmetry: No. 166

Most stable pick: a). Distance to second place: 191 meV per atom.